1.
This record from Alexandria via LeMat-Bulk describes a geometry-optimized Ga2FeAg structure. The functional is PBE.

Lattice parameters (Å, degrees): 3.989 3.989 17.466 90.00 90.00 90.00
Space group I-42d (No. 122)
Inequivalent atoms, fractional coordinates:
Ga: 0.220 0.250 0.125
Fe: 0.000 0.000 0.000
Ag: 0.000 0.000 0.500

## Properties
- Energy relative to the elements: 0.29 eV/atom
- Energy relative to the lowest polymorph listed for this composition: 28.1 kJ per mole of atoms
- Crystal system: tetragonal

2.
This record from Alexandria via LeMat-Bulk describes a geometry-optimized Ga2FeAg structure. The functional is PBE.

Lattice parameters (Å, degrees): 6.230 6.230 6.230 90.00 90.00 90.00
Space group Fm-3m (No. 225)
Inequivalent atoms, fractional coordinates:
Ga: 0.250 0.250 0.250
Fe: 0.000 0.000 0.000
Ag: 0.000 0.000 0.500

## Properties
- Energy relative to the elements: 0.13 eV/atom
- Energy relative to the lowest polymorph listed for this composition: 13.4 kJ per mole of atoms
- Crystal system: cubic

3.
This record from Alexandria via LeMat-Bulk describes a geometry-optimized Ga2FeAg structure. The functional is PBE.

Lattice parameters (Å, degrees): 2.8394 2.8394 28.9475 90.00 90.00 120.00
Space group R-3m (No. 166, hexagonal axes)
Inequivalent atoms, fractional coordinates:
Ga: 0.0000 0.0000 0.0848
Fe: 0.0000 0.0000 0.0000
Ag: 0.0000 0.0000 0.5000

## Properties
- Energy relative to the elements: 0.29 eV/atom
- Energy relative to the lowest polymorph listed for this composition: 28.5 kJ per mole of atoms
- Crystal system: trigonal

4.
This record from Alexandria via LeMat-Bulk describes a geometry-optimized Ga2FeAg structure. The functional is PBE.

Lattice parameters (Å, degrees): 2.877 2.877 7.077 90.00 90.00 90.00
Space group P4/mmm (No. 123)
Inequivalent atoms, fractional coordinates:
Ga: 0.000 0.000 0.202
Fe: 0.500 0.500 0.000
Ag: 0.500 0.500 0.500

## Properties
- Energy relative to the elements: 0.00 eV/atom
- Energy relative to the lowest polymorph listed for this composition: 0.0 kJ per mole of atoms
- Crystal system: tetragonal

5.
This record from Alexandria via LeMat-Bulk describes a geometry-optimized GaFeAg2 structure. The functional is PBE.

Lattice parameters (Å, degrees): 3.774 3.774 19.532 90.00 90.00 90.00
Space group I-42d (No. 122)
Inequivalent atoms, fractional coordinates:
Ga: 0.000 0.000 0.000
Fe: 0.000 0.000 0.500
Ag: 0.249 0.250 0.625

## Properties
- Energy relative to the elements: 0.38 eV/atom
- Crystal system: tetragonal

6.
This record from Alexandria via LeMat-Bulk describes a geometry-optimized GaFe2AgH structure. The functional is PBE.

Lattice parameters (Å, degrees): 3.723 3.723 4.195 90.00 90.00 90.00
Space group P4/mmm (No. 123)
Inequivalent atoms, fractional coordinates:
Ga: 0.000 0.000 0.000
Fe: 0.000 0.500 0.500
Ag: 0.500 0.500 0.000
H: 0.500 0.500 0.500

## Properties
- Crystal system: tetragonal
- E: -5.075 eV/atom

7.
This record from Alexandria via LeMat-Bulk describes a geometry-optimized GaFeAgI2 structure. The functional is PBE.

Lattice parameters (Å, degrees): 5.681 5.681 4.914 90.00 90.00 90.00
Space group P4/mmm (No. 123)
Inequivalent atoms, fractional coordinates:
Ga: 0.000 0.000 0.000
Fe: 0.500 0.500 0.000
Ag: 0.000 0.000 0.500
I: 0.000 0.500 0.500

## Properties
- E_form (uncorrected): 767 meV/atom
- Crystal system: tetragonal

8.
This record from Alexandria via LeMat-Bulk describes a geometry-optimized La2GaFeAg structure. The functional is PBE.

Lattice parameters (Å, degrees): 5.213 5.213 4.666 90.00 90.00 90.00
Space group P4/mmm (No. 123)
Inequivalent atoms, fractional coordinates:
La: 0.000 0.500 0.000
Ga: 0.000 0.000 0.500
Fe: 0.000 0.000 0.000
Ag: 0.500 0.500 0.500

## Properties
- Energy relative to the elements: -0.22 eV/atom
- Crystal system: tetragonal

9.
This record from Alexandria via LeMat-Bulk describes a geometry-optimized Na2GaFeAg structure. The functional is PBE.

Lattice parameters (Å, degrees): 5.237 5.237 5.021 90.00 90.00 90.00
Space group P4/mmm (No. 123)
Inequivalent atoms, fractional coordinates:
Na: 0.000 0.500 0.000
Ga: 0.000 0.000 0.500
Fe: 0.500 0.500 0.500
Ag: 0.500 0.500 0.000

## Properties
- Energy relative to the elements: 0.76 eV/atom
- Crystal system: tetragonal

10.
This record from Alexandria via LeMat-Bulk describes a geometry-optimized ScGaFeAg2 structure. The functional is PBE.

Lattice parameters (Å, degrees): 4.931 4.931 4.428 90.00 90.00 90.00
Space group P4/mmm (No. 123)
Inequivalent atoms, fractional coordinates:
Sc: 0.000 0.000 0.000
Ga: 0.500 0.500 0.000
Fe: 0.000 0.000 0.500
Ag: 0.000 0.500 0.500

## Properties
- Energy relative to the elements: 0.54 eV/atom
- Crystal system: tetragonal

11.
This record from Alexandria via LeMat-Bulk describes a geometry-optimized Ga2FeAgTe structure. The functional is PBE.

Lattice parameters (Å, degrees): 4.658 4.658 5.125 90.00 90.00 90.00
Space group P4/mmm (No. 123)
Inequivalent atoms, fractional coordinates:
Ga: 0.000 0.500 0.000
Fe: 0.000 0.000 0.000
Ag: 0.000 0.000 0.500
Te: 0.500 0.500 0.500

## Properties
- E_form (uncorrected): 360 meV/atom
- Crystal system: tetragonal

12.
This record from Alexandria via LeMat-Bulk describes a geometry-optimized Ti2GaFeAg structure. The functional is PBE.

Lattice parameters (Å, degrees): 5.139 5.139 4.654 90.00 90.00 90.00
Space group P4/mmm (No. 123)
Inequivalent atoms, fractional coordinates:
Ti: 0.000 0.500 0.000
Ga: 0.000 0.000 0.500
Fe: 0.500 0.500 0.500
Ag: 0.000 0.000 0.000

## Properties
- Energy relative to the elements: 1.20 eV/atom
- Crystal system: tetragonal

In the order shown, the computed calculated volume values come out to 278.0, 241.8, 202.1, 58.6, 278.2, 58.2, 158.6, 126.8, 137.7, 107.7, 111.2, 122.9 Å³/cell.